A plane-wave DFT calculation with PBE was carried out for a geometry-optimized Tb8CdNi2 structure.

Geometry as POSCAR:
```
Tb8CdNi2
1.0
4.261 -6.686 0.000
4.261 6.686 0.000
-1.300 0.000 5.255
Tb Cd Ni
8 1 2
Cartesian
0.995 1.715 3.027
4.261 3.370 0.000
0.995 -1.715 3.027
3.073 0.000 1.027
4.150 0.000 4.227
6.228 1.715 2.228
4.261 -3.370 0.000
6.228 -1.715 2.228
0.000 0.000 0.000
3.611 2.627 2.627
3.611 -2.627 2.627
```

calculated formation energy: -11 kJ/mol of atoms

A plane-wave DFT calculation with PBE was carried out for a geometry-optimized LiPmSi2Pd structure.

Geometry as POSCAR:
```
LiPmSi2Pd
1.0
-2.046 2.046 5.247
2.046 -2.046 5.247
2.046 2.046 -5.247
Li Pm Si Pd
1 1 2 1
Cartesian
0.000 0.000 0.000
0.000 2.046 2.624
2.046 0.000 1.447
2.046 0.000 3.801
0.000 0.000 5.247
```

A plane-wave DFT calculation with PBE was carried out for a geometry-optimized Pu2ScPd9 structure.

Geometry as POSCAR:
```
Pu2ScPd9
1.0
4.100 0.000 0.000
0.000 4.100 0.000
0.000 0.000 12.291
Pu Sc Pd
2 1 9
Cartesian
0.000 0.000 2.102
0.000 0.000 10.189
0.000 0.000 6.146
0.000 2.050 0.000
0.000 2.050 4.177
0.000 2.050 8.114
2.050 0.000 0.000
2.050 0.000 4.177
2.050 0.000 8.114
2.050 2.050 2.092
2.050 2.050 6.146
2.050 2.050 10.199
```

calculated formation energy: -63 kJ/mol of atoms

In order of appearance, electronic total energy = -4.62 -5.31 -7.46 eV/atom.